Hg2Sb3Pb4 PBE relaxed; E_form (uncorrected) = 76 meV per atom; space group = No. 12
1.0
4.3848 -0.0003 0.0002
2.1914 5.0508 1.3129
-0.0008 -0.3710 12.0837
Hg Sb Pb
2 3 4
Direct
0.3275 0.3447 0.7800 Hg
0.6725 0.6553 0.2200 Hg
0.3403 0.3194 0.4588 Sb
0.0000 0.0000 0.0000 Sb
0.6597 0.6806 0.5412 Sb
0.6605 0.6788 0.8898 Pb
0.0094 0.9811 0.3385 Pb
0.9906 0.0189 0.6615 Pb
0.3395 0.3212 0.1102 Pb


IrPd3Ru PBE relaxed; energy relative to the elements = 1692 meV per atom; space group = No. 221; relative energy among the computed polymorphs = 0 meV/atom
1.0
-1.0010 -3.7988 -2.7317
4.2412 0.4431 -2.1704
1.9761 -2.8754 3.2744
Ru Ir Pd
1 1 3
Direct
0.5000 0.5000 0.5000 Ru
0.0000 0.0000 0.0000 Ir
0.0000 0.5000 0.0000 Pd
0.0000 0.0000 0.5000 Pd
0.5000 0.0000 0.0000 Pd


no.,total magnetic moment (μB per cell)
1,0.0
2,3.7